## NbIr3W2 (PBE)

Data for a geometry-optimized NbIr3W2 structure.

Summary:
The calculation puts the formation energy at -0.365 eV per atom. The calculation puts the total magnetic moment at 0.00 μB per atom.

a b c (Å): 2.8011 2.8011 11.8562
angles (deg): 90.00 90.00 90.00
Positions (direct):
1 Ir 0.0000 0.0000 0.0000
2 Ir 0.0000 0.0000 0.6751
3 W 0.5000 0.5000 0.1663
4 Nb 0.5000 0.5000 0.5000
5 Ir 0.0000 0.0000 0.3249
6 W 0.5000 0.5000 0.8337